1.
# PBE NdScAlPd, relaxed
# M_tot: 0.00 μB per cell
# formation enthalpy at 0 K: -0.50 eV per atom
data_NdScAlPd
_chemical_formula_sum 'Nd4 Sc4 Al4 Pd4'
_cell_length_a 7.081
_cell_length_b 7.081
_cell_length_c 7.081
_cell_angle_alpha 90.00
_cell_angle_beta 90.00
_cell_angle_gamma 90.00
_symmetry_space_group_name_H-M 'F -4 3 m'
_symmetry_Int_Tables_number 216
_symmetry_space_group_name_Hall 'F -4 2 3'
loop_
_atom_site_label
_atom_site_type_symbol
_atom_site_fract_x
_atom_site_fract_y
_atom_site_fract_z
Nd1 Nd 0.000 0.000 0.000
Sc1 Sc 0.000 0.000 0.500
Al1 Al 0.250 0.250 0.750
Pd1 Pd 0.250 0.250 0.250

2.
# PBE Nd2ScAl4Pd3, relaxed
# M_tot: 0.00 μB per cell
# formation enthalpy at 0 K: -0.71 eV per atom
data_Nd2ScAl4Pd3
_chemical_formula_sum 'Nd2 Sc1 Al4 Pd3'
_cell_length_a 4.244
_cell_length_b 4.244
_cell_length_c 11.397
_cell_angle_alpha 90.00
_cell_angle_beta 90.00
_cell_angle_gamma 90.00
_symmetry_space_group_name_H-M 'P -4 m 2'
_symmetry_Int_Tables_number 115
loop_
_symmetry_equiv_pos_as_xyz
'x,y,z'
'y,-x,-z'
'-x,-y,z'
'-y,x,-z'
'-x,y,z'
'-y,-x,-z'
'x,-y,z'
'y,x,-z'
loop_
_atom_site_label
_atom_site_type_symbol
_atom_site_fract_x
_atom_site_fract_y
_atom_site_fract_z
Nd1 Nd 0.000 0.500 0.236
Sc1 Sc 0.000 0.000 0.500
Al1 Al 0.000 0.000 0.000
Al2 Al 0.000 0.500 0.658
Al3 Al 0.500 0.500 0.000
Pd1 Pd 0.000 0.500 0.877
Pd2 Pd 0.500 0.500 0.500

Which of these has the lowest formation enthalpy at 0 K? Nd2ScAl4Pd3

The lowest formation enthalpy at 0 K belongs to which entry? Nd2ScAl4Pd3

Copy entry 2 word for word.
# PBE Nd2ScAl4Pd3, relaxed
# M_tot: 0.00 μB per cell
# formation enthalpy at 0 K: -0.71 eV per atom
data_Nd2ScAl4Pd3
_chemical_formula_sum 'Nd2 Sc1 Al4 Pd3'
_cell_length_a 4.244
_cell_length_b 4.244
_cell_length_c 11.397
_cell_angle_alpha 90.00
_cell_angle_beta 90.00
_cell_angle_gamma 90.00
_symmetry_space_group_name_H-M 'P -4 m 2'
_symmetry_Int_Tables_number 115
loop_
_symmetry_equiv_pos_as_xyz
'x,y,z'
'y,-x,-z'
'-x,-y,z'
'-y,x,-z'
'-x,y,z'
'-y,-x,-z'
'x,-y,z'
'y,x,-z'
loop_
_atom_site_label
_atom_site_type_symbol
_atom_site_fract_x
_atom_site_fract_y
_atom_site_fract_z
Nd1 Nd 0.000 0.500 0.236
Sc1 Sc 0.000 0.000 0.500
Al1 Al 0.000 0.000 0.000
Al2 Al 0.000 0.500 0.658
Al3 Al 0.500 0.500 0.000
Pd1 Pd 0.000 0.500 0.877
Pd2 Pd 0.500 0.500 0.500